Entry 1:
GGA-PBE LiSe4Cl, optimized geometry; formation energy (no corrections) = 65 meV/atom; uncorrected energy = -2.885 eV per atom; total magnetization = 0.9 μB per cell; density of states at the Fermi level = 8.8 states/eV/f.u.
1.0
0.000 4.054 4.054
4.054 0.000 4.054
4.054 4.054 0.000
Li Se Cl
1 4 1
Cartesian
0.000 0.000 0.000 Li
5.057 3.051 3.051 Se
3.051 5.057 3.051 Se
3.051 3.051 5.057 Se
5.057 5.057 5.057 Se
2.027 2.027 2.027 Cl



Entry 2:
GGA-PBE YTaTc3, optimized geometry; DFT formation energy = 1.00 eV/atom; uncorrected energy = -8.883 eV per atom; total magnetization = 1.9 μB per cell; density of states at the Fermi level = 6.3 states/eV/f.u.
1.0
4.783 0.000 0.000
0.000 4.783 0.000
0.000 0.000 4.783
Y Ta Tc
1 1 3
Cartesian
0.000 0.000 0.000 Y
2.392 2.392 2.392 Ta
0.000 2.392 2.392 Tc
2.392 0.000 2.392 Tc
2.392 2.392 0.000 Tc



Entry 3:
GGA-PBE HoScGa, optimized geometry; DFT formation energy = -0.38 eV/atom; uncorrected energy = -5.026 eV per atom; total magnetization = 0.0 μB per cell; density of states at the Fermi level = 2.6 states/eV/f.u.
1.0
3.327 0.000 0.000
0.000 3.327 0.000
0.000 0.000 12.612
Ho Sc Ga
2 2 2
Cartesian
0.000 0.000 0.000 Ho
1.663 1.663 6.306 Ho
0.000 0.000 8.860 Sc
1.663 1.663 2.554 Sc
0.000 0.000 4.298 Ga
1.663 1.663 10.604 Ga



> Which of these has the lowest uncorrected energy?

YTaTc3



> Which formula does entry 1 have?

LiSe4Cl